Record 1
Computed, not measured: an optimized crystal structure of BRh3Au at the PBE level of DFT.

Calculated values
DFT formation energy   0.2 eV/f.u.
Excess energy over the best structure of this formula in the dataset   2.93 kcal/mol of atoms

a = 4.127 Å, b = 4.127 Å, c = 4.127 Å
α = 90.00°, β = 90.00°, γ = 90.00°
Fractional coordinates of all 5 atoms:
Rh: 0.000 0.500 0.000
Rh: 0.000 0.000 0.500
Rh: 0.500 0.000 0.000
B: 0.000 0.000 0.000
Au: 0.500 0.500 0.500

***

Record 2
Computed, not measured: an optimized crystal structure of B2Rh2Au at the PBE level of DFT.

Calculated values
DFT formation energy   -0.9 eV/f.u.

a = 2.919 Å, b = 2.919 Å, c = 7.483 Å
α = 78.75°, β = 78.75°, γ = 90.00°
Fractional coordinates of all 5 atoms:
Rh: 0.356 0.356 0.287
Rh: 0.644 0.644 0.713
B: 0.750 0.250 0.500
B: 0.250 0.750 0.500
Au: 0.000 0.000 0.000

***

Record 3
Computed, not measured: an optimized crystal structure of BRh2Au2 at the PBE level of DFT.

Calculated values
DFT formation energy   0.4 eV/f.u.

a = 5.605 Å, b = 5.605 Å, c = 4.773 Å
α = 90.00°, β = 90.00°, γ = 90.00°
Fractional coordinates of all 10 atoms:
Rh: 0.338 0.838 0.000
Rh: 0.838 0.662 0.000
Rh: 0.662 0.162 0.000
Rh: 0.162 0.338 0.000
B: 0.000 0.000 0.000
B: 0.500 0.500 0.000
Au: 0.173 0.673 0.500
Au: 0.673 0.827 0.500
Au: 0.827 0.327 0.500
Au: 0.327 0.173 0.500

***

Record 4
Computed, not measured: an optimized crystal structure of BRh3Au at the PBE level of DFT.

Calculated values
DFT formation energy   12.5 eV/f.u.
Excess energy over the best structure of this formula in the dataset   59.41 kcal/mol of atoms

a = 4.872 Å, b = 4.872 Å, c = 4.872 Å
α = 90.00°, β = 90.00°, γ = 90.00°
Fractional coordinates of all 5 atoms:
Rh: 0.000 0.500 0.000
Rh: 0.000 0.000 0.500
Rh: 0.500 0.000 0.000
B: 0.500 0.500 0.500
Au: 0.000 0.000 0.000

***

Record 5
Computed, not measured: an optimized crystal structure of BRhAu3 at the PBE level of DFT.

Calculated values
DFT formation energy   9.0 eV/f.u.
Excess energy over the best structure of this formula in the dataset   30.23 kcal/mol of atoms

a = 5.038 Å, b = 5.038 Å, c = 5.038 Å
α = 90.00°, β = 90.00°, γ = 90.00°
Fractional coordinates of all 5 atoms:
Rh: 0.000 0.000 0.000
B: 0.500 0.500 0.500
Au: 0.000 0.500 0.000
Au: 0.000 0.000 0.500
Au: 0.500 0.000 0.000

***

Record 6
Computed, not measured: an optimized crystal structure of BRhAu3 at the PBE level of DFT.

Calculated values
DFT formation energy   2.4 eV/f.u.
Excess energy over the best structure of this formula in the dataset   0.00 kcal/mol of atoms

a = 4.324 Å, b = 4.324 Å, c = 4.324 Å
α = 90.00°, β = 90.00°, γ = 90.00°
Fractional coordinates of all 5 atoms:
Rh: 0.500 0.500 0.500
B: 0.000 0.000 0.000
Au: 0.000 0.500 0.000
Au: 0.000 0.000 0.500
Au: 0.500 0.000 0.000

***

Record 7
Computed, not measured: an optimized crystal structure of BRh3Au at the PBE level of DFT.

Calculated values
DFT formation energy   -0.4 eV/f.u.
Excess energy over the best structure of this formula in the dataset   0.00 kcal/mol of atoms

a = 5.574 Å, b = 5.573 Å, c = 6.090 Å
α = 90.00°, β = 62.77°, γ = 59.99°
Fractional coordinates of all 10 atoms:
B: 0.047 0.931 0.739
B: 0.380 0.265 0.740
Rh: 0.395 0.009 0.468
Rh: 0.031 0.692 0.011
Rh: 0.535 0.187 0.011
Rh: 0.031 0.187 0.011
Rh: 0.396 0.505 0.468
Rh: 0.891 0.009 0.468
Au: 0.893 0.508 0.470
Au: 0.533 0.688 0.010

***

Record 8
Computed, not measured: an optimized crystal structure of B5Rh8Au at the PBE level of DFT.

Calculated values
DFT formation energy   -3.5 eV/f.u.

a = 3.114 Å, b = 7.621 Å, c = 7.487 Å
α = 101.80°, β = 102.00°, γ = 90.00°
Fractional coordinates of all 14 atoms:
B: 0.300 0.663 0.600
B: 0.700 0.337 0.400
B: 0.345 0.019 0.689
B: 0.655 0.981 0.311
B: 0.000 0.000 0.000
Rh: 0.234 0.162 0.467
Rh: 0.766 0.838 0.533
Rh: 0.166 0.497 0.332
Rh: 0.834 0.503 0.668
Rh: 0.097 0.817 0.193
Rh: 0.903 0.183 0.807
Rh: 0.436 0.830 0.871
Rh: 0.564 0.170 0.128
Au: 0.500 0.500 0.000

***

Record 9
Computed, not measured: an optimized crystal structure of ScBRh2Au at the PBE level of DFT.

Calculated values
DFT formation energy   -2.5 eV/f.u.

a = 4.184 Å, b = 4.184 Å, c = 4.295 Å
α = 90.00°, β = 90.00°, γ = 90.00°
Fractional coordinates of all 5 atoms:
Sc: 0.500 0.500 0.500
Rh: 0.000 0.500 0.000
Rh: 0.500 0.000 0.000
B: 0.000 0.000 0.000
Au: 0.000 0.000 0.500

***

Record 10
Computed, not measured: an optimized crystal structure of Sc2B2Rh5Au at the PBE level of DFT.

Calculated values
DFT formation energy   -7.0 eV/f.u.

a = 3.157 Å, b = 9.430 Å, c = 9.430 Å
α = 90.00°, β = 90.00°, γ = 90.00°
Fractional coordinates of all 20 atoms:
Sc: 0.000 0.676 0.176
Sc: 0.000 0.324 0.824
Sc: 0.000 0.176 0.324
Sc: 0.000 0.824 0.676
B: 0.000 0.125 0.625
B: 0.000 0.875 0.375
B: 0.000 0.625 0.875
B: 0.000 0.375 0.125
Rh: 0.500 0.224 0.072
Rh: 0.500 0.776 0.928
Rh: 0.500 0.072 0.776
Rh: 0.500 0.724 0.428
Rh: 0.500 0.928 0.224
Rh: 0.500 0.276 0.572
Rh: 0.500 0.572 0.724
Rh: 0.500 0.428 0.276
Rh: 0.500 0.500 0.000
Rh: 0.500 0.000 0.500
Au: 0.000 0.000 0.000
Au: 0.000 0.500 0.500

***

Record 11
Computed, not measured: an optimized crystal structure of B2RhAuSe at the PBE level of DFT.

Calculated values
Energy relative to the elements, uncorrected   73.62 kJ per mole of atoms

a = 3.974 Å, b = 5.454 Å, c = 3.974 Å
α = 90.00°, β = 90.00°, γ = 90.00°
Fractional coordinates of all 5 atoms:
Rh: 0.000 0.000 0.000
B: 0.000 0.000 0.500
B: 0.500 0.000 0.000
Au: 0.500 0.500 0.500
Se: 0.000 0.500 0.000

***

Record 12
Computed, not measured: an optimized crystal structure of Sm3B2Rh9Au at the PBE level of DFT.

Calculated values
DFT formation energy   -6.9 eV/f.u.

a = 5.823 Å, b = 5.823 Å, c = 8.902 Å
α = 90.00°, β = 90.00°, γ = 120.00°
Fractional coordinates of all 15 atoms:
Sm: 0.333 0.667 0.650
Sm: 0.000 0.000 0.000
Sm: 0.667 0.333 0.350
B: 0.333 0.667 0.145
B: 0.667 0.333 0.855
Rh: 0.837 0.163 0.733
Rh: 0.837 0.674 0.733
Rh: 0.326 0.163 0.733
Rh: 0.674 0.837 0.267
Rh: 0.163 0.326 0.267
Rh: 0.163 0.837 0.267
Rh: 0.500 0.000 0.000
Rh: 0.000 0.500 0.000
Rh: 0.500 0.500 0.000
Au: 0.000 0.000 0.500